Entry 1:
First-principles (GGA-PBE) data for a relaxed structure of AlCu2Ni, as listed in the Alexandria database.

Cell lengths 4.0381, 4.0381, 7.4085 Å; angles 90.00, 90.00, 120.00 degrees
Space group P-3m1 (No. 164)
Asymmetric unit:
1 Al 0.3333 0.6667 0.3868 (multiplicity 2)
2 Cu 0.3333 0.6667 0.0553 (multiplicity 2)
3 Cu 0.3333 0.6667 0.7236 (multiplicity 2)
4 Ni 0.0000 0.0000 0.1693 (multiplicity 2)

Mass density (Mg/m³): 6.75
Formation energy (meV per atom): -63.8
Size of the total moment (Bohr magnetons per cell): 0.00


Entry 2:
First-principles (GGA-PBE) data for a relaxed structure of Mn2P, as listed in the Alexandria database.

Cell lengths 4.574, 5.569, 3.287 Å; angles 90.00, 90.00, 90.00 degrees
Space group Pnnm (No. 58)
Asymmetric unit:
1 Mn 0.226 0.146 0.000 (multiplicity 4)
2 P 0.000 0.500 0.000 (multiplicity 2)

Mass density (Mg/m³): 5.59
Formation energy (meV per atom): -7.0
Size of the total moment (Bohr magnetons per cell): 8.94


Entry 3:
First-principles (GGA-PBE) data for a relaxed structure of TbNdY2Ho5, as listed in the Alexandria database.

Cell lengths 5.617, 19.752, 10.584 Å; angles 90.00, 90.00, 90.00 degrees
Space group Cmc2_1 (No. 36)
Asymmetric unit:
1 Tb 0.000 0.201 0.000 (multiplicity 4)
2 Nd 0.000 0.417 0.442 (multiplicity 4)
3 Y 0.000 0.110 0.723 (multiplicity 4)
4 Y 0.000 0.114 0.309 (multiplicity 4)
5 Ho 0.000 0.019 0.015 (multiplicity 4)
6 Ho 0.000 0.282 0.299 (multiplicity 4)
7 Ho 0.000 0.298 0.697 (multiplicity 4)
8 Ho 0.000 0.390 0.011 (multiplicity 4)
9 Ho 0.000 0.479 0.725 (multiplicity 4)

Mass density (Mg/m³): 7.38
Formation energy (meV per atom): 156.5
Size of the total moment (Bohr magnetons per cell): 0.00


Entry 4:
First-principles (GGA-PBE) data for a relaxed structure of Pa2TiTc, as listed in the Alexandria database.

Cell lengths 3.0461, 3.0461, 30.5473 Å; angles 90.00, 90.00, 120.00 degrees
Space group R-3m (No. 166, hexagonal axes)
Asymmetric unit:
1 Pa 0.0000 0.0000 0.0906 (multiplicity 6)
2 Ti 0.0000 0.0000 0.0000 (multiplicity 3)
3 Tc 0.0000 0.0000 0.5000 (multiplicity 3)

Mass density (Mg/m³): 12.34
Formation energy (meV per atom): 237.1
Size of the total moment (Bohr magnetons per cell): 0.00


Entry 5:
First-principles (GGA-PBE) data for a relaxed structure of MgTlF3, as listed in the Alexandria database.

Cell lengths 3.463, 7.110, 7.866 Å; angles 90.00, 90.39, 90.00 degrees
Space group P2_1/m (No. 11)
Asymmetric unit:
1 Mg 0.248 0.250 0.157 (multiplicity 2)
2 Tl 0.250 0.250 0.620 (multiplicity 2)
3 F 0.250 0.043 0.306 (multiplicity 4)
4 F 0.254 0.750 0.954 (multiplicity 2)

Mass density (Mg/m³): 4.90
Formation energy (no corrections) (kcal/mol of atoms): -62.0
Size of the total moment (Bohr magnetons per cell): 0.00


Entry 6:
First-principles (GGA-PBE) data for a relaxed structure of Be2RhBr, as listed in the Alexandria database.

Cell lengths 3.099, 4.361, 7.994 Å; angles 90.00, 90.00, 90.00 degrees
Space group Imm2 (No. 44)
Asymmetric unit:
1 Be 0.000 0.000 0.000 (multiplicity 2)
2 Be 0.000 0.500 0.276 (multiplicity 2)
3 Rh 0.000 0.000 0.547 (multiplicity 2)
4 Br 0.000 0.500 0.725 (multiplicity 2)

Mass density (Mg/m³): 6.17
Formation energy (no corrections) (kcal/mol of atoms): 9.4
Size of the total moment (Bohr magnetons per cell): 0.00


Entry 7:
First-principles (GGA-PBE) data for a relaxed structure of Ce4Sb5Se, as listed in the Alexandria database.

Cell lengths 17.858, 4.526, 8.170 Å; angles 90.00, 111.21, 90.00 degrees
Space group C2/m (No. 12)
Asymmetric unit:
1 Ce 0.043 0.000 0.266 (multiplicity 4)
2 Ce 0.157 0.500 0.956 (multiplicity 4)
3 Sb 0.000 0.500 0.500 (multiplicity 2)
4 Sb 0.146 0.000 0.672 (multiplicity 4)
5 Sb 0.211 0.000 0.239 (multiplicity 4)
6 Se 0.000 0.500 0.000 (multiplicity 2)

Mass density (Mg/m³): 6.73
Formation energy (no corrections) (kcal/mol of atoms): -19.0
Size of the total moment (Bohr magnetons per cell): 6.54


Entry 8:
First-principles (GGA-PBE) data for a relaxed structure of RuRh2Cl, as listed in the Alexandria database.

Cell lengths 2.797, 4.613, 4.621 Å; angles 90.00, 90.00, 90.00 degrees
Space group Pmmm (No. 47)
Asymmetric unit:
1 Ru 0.000 0.000 0.000 (multiplicity 1)
2 Rh 0.000 0.500 0.500 (multiplicity 1)
3 Rh 0.500 0.000 0.500 (multiplicity 1)
4 Cl 0.500 0.500 0.000 (multiplicity 1)

Mass density (Mg/m³): 9.54
Formation energy (no corrections) (kcal/mol of atoms): 16.2
Size of the total moment (Bohr magnetons per cell): 1.70


Entry 9:
First-principles (GGA-PBE) data for a relaxed structure of RbSr2LiGa, as listed in the Alexandria database.

Cell lengths 6.380, 6.380, 5.546 Å; angles 90.00, 90.00, 90.00 degrees
Space group P4/mmm (No. 123)
Asymmetric unit:
1 Rb 0.000 0.000 0.000 (multiplicity 1)
2 Sr 0.000 0.500 0.500 (multiplicity 2)
3 Li 0.500 0.500 0.000 (multiplicity 1)
4 Ga 0.500 0.500 0.500 (multiplicity 1)

Mass density (Mg/m³): 2.48
Formation energy (meV per atom): 17.1
Size of the total moment (Bohr magnetons per cell): 0.00


Entry 10:
First-principles (GGA-PBE) data for a relaxed structure of Pa2GaPd4, as listed in the Alexandria database.

Cell lengths 5.294, 11.399, 5.241 Å; angles 90.00, 90.00, 90.00 degrees
Space group Cmmm (No. 65)
Asymmetric unit:
1 Pa 0.000 0.138 0.000 (multiplicity 4)
2 Ga 0.000 0.500 0.500 (multiplicity 2)
3 Pd 0.000 0.118 0.500 (multiplicity 4)
4 Pd 0.000 0.385 0.000 (multiplicity 4)

Mass density (Mg/m³): 10.05
Formation energy (meV per atom): 75.2
Size of the total moment (Bohr magnetons per cell): 0.00


Entry 11:
First-principles (GGA-PBE) data for a relaxed structure of BaCa2H8Rh, as listed in the Alexandria database.

Cell lengths 4.9285, 4.9285, 7.5338 Å; angles 90.00, 90.00, 120.00 degrees
Space group P-3m1 (No. 164)
Asymmetric unit:
1 Ba 0.0000 0.0000 0.0000 (multiplicity 1)
2 Ca 0.3333 0.6667 0.3649 (multiplicity 2)
3 H 0.1625 0.3250 0.6340 (multiplicity 6)
4 H 0.3333 0.6667 0.0734 (multiplicity 2)
5 Rh 0.0000 0.0000 0.5000 (multiplicity 1)

Mass density (Mg/m³): 3.44
Total DFT energy (no corrections) (eV per cell): -46.49
Size of the total moment (Bohr magnetons per cell): 0.00


Entry 12:
First-principles (GGA-PBE) data for a relaxed structure of ReRh2Br, as listed in the Alexandria database.

Cell lengths 8.746, 2.937, 6.522 Å; angles 90.00, 98.70, 90.00 degrees
Space group Cm (No. 8)
Asymmetric unit:
1 Re 0.000 0.000 0.000 (multiplicity 2)
2 Rh 0.033 0.500 0.687 (multiplicity 2)
3 Rh 0.272 0.000 0.880 (multiplicity 2)
4 Br 0.106 0.500 0.318 (multiplicity 2)

Mass density (Mg/m³): 9.46
Formation energy (no corrections) (kcal/mol of atoms): 12.4
Size of the total moment (Bohr magnetons per cell): 0.00


Repeat the third record exactly.
First-principles (GGA-PBE) data for a relaxed structure of TbNdY2Ho5, as listed in the Alexandria database.

Cell lengths 5.617, 19.752, 10.584 Å; angles 90.00, 90.00, 90.00 degrees
Space group Cmc2_1 (No. 36)
Asymmetric unit:
1 Tb 0.000 0.201 0.000 (multiplicity 4)
2 Nd 0.000 0.417 0.442 (multiplicity 4)
3 Y 0.000 0.110 0.723 (multiplicity 4)
4 Y 0.000 0.114 0.309 (multiplicity 4)
5 Ho 0.000 0.019 0.015 (multiplicity 4)
6 Ho 0.000 0.282 0.299 (multiplicity 4)
7 Ho 0.000 0.298 0.697 (multiplicity 4)
8 Ho 0.000 0.390 0.011 (multiplicity 4)
9 Ho 0.000 0.479 0.725 (multiplicity 4)

Mass density (Mg/m³): 7.38
Formation energy (meV per atom): 156.5
Size of the total moment (Bohr magnetons per cell): 0.00